[1]
Density functional theory data (PBE-GGA) for a relaxed structure of Cs2AuOF6.

a = 6.4228 Å, b = 6.4228 Å, c = 9.3954 Å
α = 90.00°, β = 90.00°, γ = 90.00°
Closest atoms and distances in Å follow each position.
Space group I4/mmm (No. 139)
One atom of each set of equivalent atoms:
Cs (0.0000, 0.5000, 0.2500)  12 F 3.23-3.27
Au (0.0000, 0.0000, 0.0000)  6 F 2.02-2.07
O (0.0000, 0.0000, 0.5000)  6 F 2.47-2.68
F (0.0000, 0.0000, 0.2151)  1 Au 2.02
F (0.2279, 0.2279, 0.0000)  1 Au 2.07

Summary:
The magnetic moment is 2.0 μB/cell. For the formation energy without anion corrections, the calculation gives -1.42 eV per atom. For the total energy, the calculation gives -3.541 eV per atom. As for the calculated density: 5.1 g/cm³.

[2]
Density functional theory data (PBE-GGA) for a relaxed structure of BaNaCdSn2.

a = 4.9637 Å, b = 4.9637 Å, c = 12.8234 Å
α = 90.00°, β = 90.00°, γ = 90.00°
Closest atoms and distances in Å follow each position.
Space group I-4m2 (No. 119)
One atom of each set of equivalent atoms:
Ba (0.0000, 0.0000, 0.0000)  8 Sn 3.79, 4 Cd 4.05, 4 Na 4.05
Na (0.0000, 0.5000, 0.2500)  4 Sn 3.05
Cd (0.0000, 0.5000, 0.7500)  4 Sn 3.05
Sn (0.0000, 0.0000, 0.3885)  1 Sn 2.86, 2 Cd 3.05, 2 Na 3.05

Summary:
The magnetic moment is 0.0 μB/cell. For the total energy, the calculation gives -2.835 eV per atom. The calculated formation energy comes out at -402 meV per atom. As for the calculated density: 5.4 g/cm³.

[3]
Density functional theory data (PBE-GGA) for a relaxed structure of LaFeCo2.

a = 3.7870 Å, b = 3.7870 Å, c = 8.9706 Å
α = 90.00°, β = 90.00°, γ = 90.00°
Closest atoms and distances in Å follow each position.
Space group I-4m2 (No. 119)
One atom of each set of equivalent atoms:
La (0.0000, 0.0000, 0.0000)  8 Co 2.68-2.94, 4 Fe 2.94
Fe (0.0000, 0.5000, 0.2500)  8 Co 2.68-2.94, 4 La 2.94
Co (0.0000, 0.0000, 0.5000)  4 La 2.68, 4 Fe 2.94, 4 Co 2.94
Co (0.0000, 0.5000, 0.7500)  4 Fe 2.68, 4 La 2.94, 4 Co 2.94

Summary:
The magnetic moment is 9.9 μB/cell. For the total energy, the calculation gives -6.503 eV per atom. The calculated formation energy comes out at 398 meV per atom. As for the calculated density: 8.1 g/cm³.

[4]
Density functional theory data (PBE-GGA) for a relaxed structure of Ac5Sc2Sn5.

a = 14.4828 Å, b = 4.8235 Å, c = 12.0185 Å
α = 90.00°, β = 95.83°, γ = 90.00°
Closest atoms and distances in Å follow each position.
Space group C2/m (No. 12)
One atom of each set of equivalent atoms:
Ac (0.0000, 0.0000, 0.0000)  4 Sn 3.55
Ac (0.1426, 0.0000, 0.5996)  4 Sn 3.32-3.58
Ac (0.2270, 0.5000, 0.1033)  1 Sc 3.39, 5 Sn 3.43-3.48, 2 Ac 3.57
Sc (0.0724, 0.5000, 0.2968)  4 Sn 2.75-2.92
Sn (0.0000, 0.5000, 0.5000)  2 Sc 2.75
Sn (0.1066, 0.5000, 0.8378)  1 Sc 2.91
Sn (0.1866, 0.0000, 0.2991)  2 Sc 2.92

Summary:
The magnetic moment is 0.0 μB/cell. For the total energy, the calculation gives -4.959 eV per atom. The calculated formation energy comes out at -524 meV per atom. As for the calculated density: 7.2 g/cm³.

[5]
Density functional theory data (PBE-GGA) for a relaxed structure of MgTlO2.

a = 5.9335 Å, b = 5.9335 Å, c = 5.9335 Å
α = 90.00°, β = 90.00°, γ = 90.00°
Closest atoms and distances in Å follow each position.
Space group Fm-3m (No. 225)
One atom of each set of equivalent atoms:
Mg (0.0000, 0.0000, 0.0000)  8 O 2.57
Tl (0.0000, 0.0000, 0.5000)  8 O 2.57
O (0.2500, 0.2500, 0.2500)  4 Tl 2.57, 4 Mg 2.57

Summary:
The magnetic moment is 0.0 μB/cell. For the formation energy without anion corrections, the calculation gives -0.79 eV per atom. For the total energy, the calculation gives -4.258 eV per atom. As for the calculated density: 8.3 g/cm³.

[6]
Density functional theory data (PBE-GGA) for a relaxed structure of HOs3Se.

a = 3.9796 Å, b = 3.9796 Å, c = 3.9796 Å
α = 90.00°, β = 90.00°, γ = 90.00°
Closest atoms and distances in Å follow each position.
Space group Pm-3m (No. 221)
One atom of each set of equivalent atoms:
H (0.0000, 0.0000, 0.0000)  6 Os 1.99
Os (0.0000, 0.0000, 0.5000)  2 H 1.99
Se (0.5000, 0.5000, 0.5000)  12 Os 2.81

Summary:
The magnetic moment is 0.0 μB/cell. For the total energy, the calculation gives -7.174 eV per atom. As for the calculated density: 17.1 g/cm³.

[7]
Density functional theory data (PBE-GGA) for a relaxed structure of Cs2Li2Au.

a = 4.3090 Å, b = 4.3090 Å, c = 23.2055 Å
α = 90.00°, β = 90.00°, γ = 90.00°
Closest atoms and distances in Å follow each position.
Space group I4/mmm (No. 139)
One atom of each set of equivalent atoms:
Cs (0.0000, 0.0000, 0.0928)  4 Au 3.73
Li (0.0000, 0.5000, 0.2500)  4 Li 3.05
Au (0.0000, 0.0000, 0.5000)  8 Cs 3.73

Summary:
The magnetic moment is 0.0 μB/cell. For the total energy, the calculation gives -1.791 eV per atom. The calculated formation energy comes out at -29 meV per atom. As for the calculated density: 3.7 g/cm³.

[8]
Density functional theory data (PBE-GGA) for a relaxed structure of LiSiF2.

a = 5.8911 Å, b = 5.8911 Å, c = 5.8911 Å
α = 90.00°, β = 90.00°, γ = 90.00°
Closest atoms and distances in Å follow each position.
Space group Fm-3m (No. 225)
One atom of each set of equivalent atoms:
Li (0.0000, 0.0000, 0.0000)  8 F 2.55
Si (0.0000, 0.0000, 0.5000)  8 F 2.55
F (0.2500, 0.2500, 0.2500)  4 Li 2.55, 4 Si 2.55

Summary:
The magnetic moment is 2.1 μB/cell. For the formation energy without anion corrections, the calculation gives -1.13 eV per atom. For the total energy, the calculation gives -3.904 eV per atom. As for the calculated density: 2.4 g/cm³.

[9]
Density functional theory data (PBE-GGA) for a relaxed structure of CaAc2Hg5.

a = 5.5475 Å, b = 5.5475 Å, c = 15.3087 Å
α = 90.00°, β = 90.00°, γ = 90.00°
Closest atoms and distances in Å follow each position.
Space group I4/mmm (No. 139)
One atom of each set of equivalent atoms:
Ca (0.0000, 0.0000, 0.0000)  8 Hg 3.29
Ac (0.0000, 0.0000, 0.2664)  9 Hg 3.31-3.61
Hg (0.0000, 0.0000, 0.5000)  8 Hg 3.29, 2 Ac 3.58
Hg (0.0000, 0.5000, 0.1151)  3 Hg 3.29-3.52, 2 Ca 3.29, 4 Ac 3.31-3.61

Summary:
The magnetic moment is 0.0 μB/cell. For the total energy, the calculation gives -1.873 eV per atom. The calculated formation energy comes out at -407 meV per atom. As for the calculated density: 10.6 g/cm³.

[10]
Density functional theory data (PBE-GGA) for a relaxed structure of Pm3SiHg.

a = 9.3204 Å, b = 8.4382 Å, c = 7.2526 Å
α = 90.00°, β = 96.93°, γ = 90.00°
Closest atoms and distances in Å follow each position.
Space group P2_1/c (No. 14)
One atom of each set of equivalent atoms:
Pm (0.1083, 0.2109, 0.0260)  4 Si 3.02-3.17, 1 Hg 3.27
Pm (0.2187, 0.6210, 0.8246)  3 Si 3.03-3.29
Pm (0.3842, 0.5165, 0.3002)  1 Si 2.93, 3 Hg 3.01-3.10
Si (0.0705, 0.5462, 0.2050)  7 Pm 2.93-3.20, 1 Si 3.20
Hg (0.4385, 0.1901, 0.4624)  5 Pm 3.01-3.34

Summary:
The magnetic moment is 0.0 μB/cell. For the formation energy without anion corrections, the calculation gives -0.46 eV per atom. For the total energy, the calculation gives -4.456 eV per atom. As for the calculated density: 7.8 g/cm³.

[11]
Density functional theory data (PBE-GGA) for a relaxed structure of SrSbW2.

a = 4.1505 Å, b = 4.1505 Å, c = 10.0398 Å
α = 90.00°, β = 90.00°, γ = 90.00°
Closest atoms and distances in Å follow each position.
Space group I4/mmm (No. 139)
One atom of each set of equivalent atoms:
Sr (0.0000, 0.0000, 0.0000)  4 Sb 2.93, 8 W 3.26
Sb (0.0000, 0.0000, 0.5000)  4 Sr 2.93, 8 W 3.26
W (0.0000, 0.5000, 0.2500)  4 W 2.93, 4 Sb 3.26, 4 Sr 3.26

Summary:
The magnetic moment is 0.0 μB/cell. For the formation energy without anion corrections, the calculation gives 1.11 eV per atom. For the total energy, the calculation gives -6.814 eV per atom. As for the calculated density: 11.1 g/cm³.

[12]
Density functional theory data (PBE-GGA) for a relaxed structure of KBaBi.

a = 5.6096 Å, b = 5.6096 Å, c = 5.1959 Å
α = 90.00°, β = 90.00°, γ = 120.00°
Closest atoms and distances in Å follow each position.
Space group P3m1 (No. 156)
One atom of each set of equivalent atoms:
K (0.0000, 0.0000, 0.0000)  3 Bi 3.55
Ba (0.3333, 0.6667, 0.5499)  3 Bi 3.53
Bi (0.6667, 0.3333, 0.2811)  3 Ba 3.53, 3 K 3.55

Summary:
The magnetic moment is 0.0 μB/cell. For the total energy, the calculation gives -2.804 eV per atom. The calculated formation energy comes out at -503 meV per atom. As for the calculated density: 4.5 g/cm³.

[13]
Density functional theory data (PBE-GGA) for a relaxed structure of CaRuW2S.

a = 4.6447 Å, b = 4.6447 Å, c = 5.6355 Å
α = 90.00°, β = 90.00°, γ = 90.00°
Closest atoms and distances in Å follow each position.
Space group P4/mmm (No. 123)
One atom of each set of equivalent atoms:
Ca (0.0000, 0.0000, 0.0000)  2 Ru 2.82
Ru (0.0000, 0.0000, 0.5000)  4 W 2.32
W (0.0000, 0.5000, 0.5000)  2 Ru 2.32
S (0.5000, 0.5000, 0.0000)  4 Ca 3.28, 8 W 3.65

Summary:
The magnetic moment is 0.0 μB/cell. For the formation energy without anion corrections, the calculation gives 1.36 eV per atom. For the total energy, the calculation gives -6.900 eV per atom. As for the calculated density: 7.4 g/cm³.

[14]
Density functional theory data (PBE-GGA) for a relaxed structure of PmMgNiGe2.

a = 5.5638 Å, b = 5.8122 Å, c = 5.8353 Å
α = 90.00°, β = 90.00°, γ = 90.00°
Closest atoms and distances in Å follow each position.
Space group Pmma (No. 51)
One atom of each set of equivalent atoms:
Pm (0.2500, 0.0000, 0.2404)  2 Mg 3.02, 8 Ge 3.10-3.35
Mg (0.2500, 0.5000, 0.3793)  2 Ni 2.61, 2 Ge 2.72
Ni (0.0000, 0.5000, 0.0000)  4 Ge 2.49, 2 Mg 2.61, 2 Ni 2.78
Ge (0.2500, 0.2355, 0.7640)  2 Ni 2.49, 1 Mg 2.72, 1 Ge 2.74

Summary:
The magnetic moment is 0.0 μB/cell. For the total energy, the calculation gives -4.728 eV per atom. The calculated formation energy comes out at -455 meV per atom. As for the calculated density: 6.6 g/cm³.

[15]
Density functional theory data (PBE-GGA) for a relaxed structure of LuAgPt.

a = 4.6651 Å, b = 4.6651 Å, c = 3.1403 Å
α = 90.00°, β = 90.00°, γ = 120.00°
Closest atoms and distances in Å follow each position.
Space group P-6m2 (No. 187)
One atom of each set of equivalent atoms:
Lu (0.0000, 0.0000, 0.0000)  6 Pt 3.12, 6 Ag 3.12, 2 Lu 3.14
Ag (0.3333, 0.6667, 0.5000)  3 Pt 2.69
Pt (0.6667, 0.3333, 0.5000)  3 Ag 2.69

Summary:
The magnetic moment is 0.0 μB/cell. For the total energy, the calculation gives -5.096 eV per atom. The calculated formation energy comes out at -625 meV per atom. As for the calculated density: 13.4 g/cm³.

[16]
Density functional theory data (PBE-GGA) for a relaxed structure of Ce3GeAs.

a = 19.1074 Å, b = 3.9080 Å, c = 7.9413 Å
α = 90.00°, β = 109.45°, γ = 90.00°
Closest atoms and distances in Å follow each position.
Space group C2/m (No. 12)
One atom of each set of equivalent atoms:
Ce (0.0574, 0.0000, 0.4039)  2 As 2.97, 4 Ge 3.04-3.11, 1 Ce 3.06
Ce (0.1559, 0.0000, 0.9874)  1 Ce 2.84, 2 Ge 2.96, 2 As 3.07
Ce (0.2312, 0.5000, 0.6720)  1 Ce 2.84, 3 As 2.98-3.03, 1 Ge 3.06
Ge (0.0770, 0.5000, 0.7095)  7 Ce 2.96-3.11
As (0.1453, 0.5000, 0.2755)  7 Ce 2.97-3.07

Summary:
The magnetic moment is 8.2 μB/cell. For the total energy, the calculation gives -6.121 eV per atom. The calculated formation energy comes out at -707 meV per atom. As for the calculated density: 6.7 g/cm³.

[17]
Density functional theory data (PBE-GGA) for a relaxed structure of Pr2AlGa3Pt4.

a = 4.2248 Å, b = 4.2248 Å, c = 10.8833 Å
α = 90.00°, β = 90.00°, γ = 90.00°
Closest atoms and distances in Å follow each position.
Space group P-4m2 (No. 115)
One atom of each set of equivalent atoms:
Pr (0.0000, 0.5000, 0.2484)  8 Pt 3.24-3.46, 6 Ga 3.25-3.43, 2 Al 3.43
Al (0.5000, 0.5000, 0.0000)  4 Pt 2.56
Ga (0.0000, 0.0000, 0.0000)  4 Pt 2.56
Ga (0.0000, 0.5000, 0.6338)  5 Pt 2.54-2.57
Pt (0.0000, 0.0000, 0.5000)  4 Ga 2.57
Pt (0.0000, 0.5000, 0.8670)  3 Ga 2.54-2.56, 2 Al 2.56
Pt (0.5000, 0.5000, 0.5000)  4 Ga 2.57

Summary:
The magnetic moment is 0.0 μB/cell. For the total energy, the calculation gives -5.656 eV per atom. The calculated formation energy comes out at -1001 meV per atom. As for the calculated density: 11.1 g/cm³.

[18]
Density functional theory data (PBE-GGA) for a relaxed structure of Mg3MnBi.

a = 4.9586 Å, b = 4.9586 Å, c = 4.9586 Å
α = 90.00°, β = 90.00°, γ = 90.00°
Closest atoms and distances in Å follow each position.
Space group Pm-3m (No. 221)
One atom of each set of equivalent atoms:
Mg (0.0000, 0.0000, 0.5000)  2 Mn 2.48
Mn (0.0000, 0.0000, 0.0000)  6 Mg 2.48
Bi (0.5000, 0.5000, 0.5000)  12 Mg 3.51

Summary:
The magnetic moment is 0.0 μB/cell. For the total energy, the calculation gives -2.854 eV per atom. The calculated formation energy comes out at 713 meV per atom. As for the calculated density: 4.6 g/cm³.

[19]
Density functional theory data (PBE-GGA) for a relaxed structure of Na2CdGe2.

a = 10.5752 Å, b = 6.0109 Å, c = 7.9920 Å
α = 90.00°, β = 100.67°, γ = 90.00°
Closest atoms and distances in Å follow each position.
Space group C2/c (No. 15)
One atom of each set of equivalent atoms:
Na (0.1459, 0.1427, 0.1388)  6 Ge 3.08-3.33, 1 Cd 3.42
Cd (0.0000, 0.3869, 0.7500)  4 Ge 2.77-2.83
Ge (0.1461, 0.3348, 0.4986)  1 Ge 2.42

Summary:
The magnetic moment is 0.0 μB/cell. For the total energy, the calculation gives -2.619 eV per atom. The calculated formation energy comes out at -62 meV per atom. As for the calculated density: 4.0 g/cm³.

[20]
Density functional theory data (PBE-GGA) for a relaxed structure of TaNi2P.

a = 13.2188 Å, b = 6.4715 Å, c = 4.7075 Å
α = 90.00°, β = 90.00°, γ = 90.00°
Closest atoms and distances in Å follow each position.
Space group Pnma (No. 62)
One atom of each set of equivalent atoms:
Ta (0.1069, 0.2500, 0.2399)  3 P 2.48-2.62, 4 Ni 2.72-2.77
Ta (0.1416, 0.7500, 0.0335)  3 P 2.52-2.57, 6 Ni 2.74-2.81
Ni (0.0332, 0.0567, 0.7575)  3 P 2.29-2.32, 2 Ni 2.50-2.55
Ni (0.2146, 0.5549, 0.5357)  3 P 2.27-2.29, 1 Ni 2.53
P (0.0698, 0.7500, 0.5298)  6 Ni 2.29-2.31, 2 Ta 2.52-2.55
P (0.1810, 0.2500, 0.7553)  6 Ni 2.27-2.32, 1 Ta 2.48

Summary:
The magnetic moment is 0.0 μB/cell. For the total energy, the calculation gives -7.813 eV per atom. The calculated formation energy comes out at -606 meV per atom. As for the calculated density: 10.9 g/cm³.